[1]
The following is a PBE calculation of a relaxed structure of Mn2PbW, from the Alexandria database.

Cell lengths 4.5360, 4.5360, 5.1784 Å; angles 78.24, 78.24, 40.97 degrees
Last column: nearest neighbours and their distance in Å.
Sites, in units of the cell vectors:
Mn 0.0147 0.0147 0.9470  3 W 2.58-2.66, 2 Mn 2.64, 1 Pb 2.80
Mn 0.4853 0.4853 0.5530  3 W 2.58-2.66, 2 Mn 2.64, 1 Pb 2.80
Pb 0.2500 0.2500 0.2500  6 Mn 2.80-2.92, 4 W 3.04
W 0.7500 0.7500 0.7500  6 Mn 2.58-2.66

Values from the calculation:
ΔE_f in eV/atom: 0.647
Total moment in μB/f.u.: 4.3
Density in kg/m3: 12200
Fermi-level density of states in states/eV per atom: 0.86
VASP energy in eV/atom: -8.103
Symmetry: C2/m, No. 12

[2]
The following is a PBE calculation of a relaxed structure of Mn2PbW, from the Alexandria database.

Cell lengths 4.6256, 4.6256, 3.0936 Å; angles 90.00, 90.00, 103.56 degrees
Last column: nearest neighbours and their distance in Å.
Sites, in units of the cell vectors:
Mn 0.0000 0.0000 0.0000  4 Pb 2.78, 4 W 2.78, 4 Mn 2.86-3.09
Mn 0.5000 0.5000 0.0000  4 W 2.78, 4 Pb 2.78, 4 Mn 2.86-3.09
Pb 0.5000 0.0000 0.5000  8 Mn 2.78, 2 W 2.86, 2 Pb 3.09
W 0.0000 0.5000 0.5000  8 Mn 2.78, 2 Pb 2.86, 2 W 3.09

Values from the calculation:
ΔE_f in eV/atom: 0.628
Total moment in μB/f.u.: 4.3
Density in kg/m3: 12926
Fermi-level density of states in states/eV per atom: 1.02
VASP energy in eV/atom: -8.122
Symmetry: Cmmm, No. 65

[3]
The following is a PBE calculation of a relaxed structure of Mn2PbW, from the Alexandria database.

Cell lengths 3.9222, 2.9529, 6.2769 Å; angles 67.43, 90.00, 90.00 degrees
Last column: nearest neighbours and their distance in Å.
Sites, in units of the cell vectors:
Mn 0.0000 0.9848 0.9947  2 W 2.48, 2 Mn 2.64
Mn 0.5000 0.2313 0.2104  1 W 2.41, 2 Mn 2.64
Pb 0.0000 0.5136 0.4856  6 Mn 2.85-2.97, 2 Pb 2.95, 4 W 3.06-3.12
W 0.5000 0.7703 0.8093  3 Mn 2.41-2.48

Values from the calculation:
ΔE_f in eV/atom: 0.604
Total moment in μB/f.u.: 4.4
Density in kg/m3: 12391
Fermi-level density of states in states/eV per atom: 0.84
VASP energy in eV/atom: -8.147
Symmetry: Pm, No. 6

[4]
The following is a PBE calculation of a relaxed structure of MnPb3W, from the Alexandria database.

Cell lengths 5.4191, 5.4191, 5.4191 Å; angles 90.00, 90.00, 90.00 degrees
Last column: nearest neighbours and their distance in Å.
Sites, in units of the cell vectors:
Pb 0.0000 0.5000 0.0000  2 W 2.71
Pb 0.0000 0.0000 0.5000  2 W 2.71
Pb 0.5000 0.0000 0.0000  2 W 2.71
Mn 0.5000 0.5000 0.5000  12 Pb 3.83
W 0.0000 0.0000 0.0000  6 Pb 2.71

Values from the calculation:
Excess energy over the best structure of this formula in the dataset in meV/atom: 0
ΔE_f in eV/atom: 1.036
Total moment in μB/f.u.: 5.0
Density in kg/m3: 8977
Fermi-level density of states in states/eV per atom: 0.78
VASP energy in eV/atom: -5.613
Symmetry: Pm-3m, No. 221

[5]
The following is a PBE calculation of a relaxed structure of MnPb3W, from the Alexandria database.

Cell lengths 5.1832, 5.1832, 5.1832 Å; angles 90.00, 90.00, 90.00 degrees
Last column: nearest neighbours and their distance in Å.
Sites, in units of the cell vectors:
Pb 0.0000 0.5000 0.0000  2 Mn 2.59
Pb 0.0000 0.0000 0.5000  2 Mn 2.59
Pb 0.5000 0.0000 0.0000  2 Mn 2.59
Mn 0.0000 0.0000 0.0000  6 Pb 2.59
W 0.5000 0.5000 0.5000  12 Pb 3.67

Values from the calculation:
Excess energy over the best structure of this formula in the dataset in meV/atom: 318
ΔE_f in eV/atom: 1.355
Total moment in μB/f.u.: 7.1
Density in kg/m3: 10260
Fermi-level density of states in states/eV per atom: 0.76
VASP energy in eV/atom: -5.295
Symmetry: Pm-3m, No. 221

[6]
The following is a PBE calculation of a relaxed structure of Mn2PbW, from the Alexandria database.

Cell lengths 3.1135, 3.1135, 7.1248 Å; angles 90.00, 90.00, 90.00 degrees
Last column: nearest neighbours and their distance in Å.
Sites, in units of the cell vectors:
Mn 0.0000 0.0000 0.9915  4 W 2.54, 4 Mn 2.64
Mn 0.5000 0.5000 0.1955  4 Mn 2.64, 1 W 2.71
Pb 0.0000 0.0000 0.4985  4 Mn 3.08, 4 Pb 3.11, 4 W 3.15
W 0.5000 0.5000 0.8146  5 Mn 2.54-2.71

Values from the calculation:
ΔE_f in eV/atom: 0.554
Total moment in μB/f.u.: 5.2
Density in kg/m3: 12043
Fermi-level density of states in states/eV per atom: 0.87
VASP energy in eV/atom: -8.196
Symmetry: P4mm, No. 99

[7]
The following is a PBE calculation of a relaxed structure of Mn2PbW, from the Alexandria database.

Cell lengths 5.1841, 5.1841, 5.1841 Å; angles 142.81, 129.15, 64.66 degrees
Last column: nearest neighbours and their distance in Å.
Sites, in units of the cell vectors:
Mn 0.0037 0.0037 0.0000  2 W 2.59, 2 Mn 2.68, 4 Pb 2.77
Mn 0.7630 0.2630 0.5000  2 Mn 2.68, 4 W 2.79, 2 Pb 2.82
Pb 0.5024 0.5024 0.0000  8 Mn 2.77-3.06, 4 W 2.90-2.99
W 0.2308 0.7308 0.5000  6 Mn 2.59-2.79

Values from the calculation:
ΔE_f in eV/atom: 0.603
Total moment in μB/f.u.: 4.4
Density in kg/m3: 12901
Fermi-level density of states in states/eV per atom: 0.70
VASP energy in eV/atom: -8.147
Symmetry: Imm2, No. 44

[8]
The following is a PBE calculation of a relaxed structure of Mn2PbW, from the Alexandria database.

Cell lengths 4.8183, 4.8183, 4.7846 Å; angles 79.28, 79.28, 37.74 degrees
Last column: nearest neighbours and their distance in Å.
Sites, in units of the cell vectors:
Mn 0.0046 0.0046 0.9846  3 W 2.64-2.69, 3 Mn 2.72-2.80, 4 Pb 2.83-2.88
Mn 0.2548 0.2548 0.2157  2 W 2.48, 1 Mn 2.72
Pb 0.5012 0.5012 0.4797  7 Mn 2.79-2.88, 3 W 2.96-3.04, 2 Pb 3.12
W 0.7394 0.7394 0.8200  5 Mn 2.48-2.69

Values from the calculation:
ΔE_f in eV/atom: 0.607
Total moment in μB/f.u.: 4.1
Density in kg/m3: 12478
Fermi-level density of states in states/eV per atom: 0.77
VASP energy in eV/atom: -8.143
Symmetry: Cm, No. 8

[9]
The following is a PBE calculation of a relaxed structure of Mn2PbW, from the Alexandria database.

Cell lengths 4.2685, 4.2678, 3.6489 Å; angles 90.00, 90.00, 90.00 degrees
Last column: nearest neighbours and their distance in Å.
Sites, in units of the cell vectors:
Mn 0.0000 0.0000 0.0000  4 W 2.81, 4 Pb 2.81, 4 Mn 3.02
Mn 0.5000 0.5000 0.0000  4 Pb 2.81, 4 W 2.81, 4 Mn 3.02
Pb 0.5000 0.0000 0.5000  8 Mn 2.81, 4 W 3.02
W 0.0000 0.5000 0.5000  8 Mn 2.81, 4 Pb 3.02

Values from the calculation:
ΔE_f in eV/atom: 0.621
Total moment in μB/f.u.: 5.8
Density in kg/m3: 12513
Fermi-level density of states in states/eV per atom: 0.86
VASP energy in eV/atom: -8.129
Symmetry: P4/mmm, No. 123

[10]
The following is a PBE calculation of a relaxed structure of MnPb4W, from the Alexandria database.

Cell lengths 6.2504, 6.2504, 6.2504 Å; angles 60.00, 60.00, 60.00 degrees
Last column: nearest neighbours and their distance in Å.
Sites, in units of the cell vectors:
Mn 0.0000 0.0000 0.0000  12 Pb 3.67, 4 W 3.83
Pb 0.8733 0.3756 0.3756  6 Pb 3.11-3.14
Pb 0.3756 0.3756 0.8733  6 Pb 3.11-3.14
Pb 0.3756 0.8733 0.3756  6 Pb 3.11-3.14
Pb 0.3756 0.3756 0.3756  6 Pb 3.11-3.14
W 0.7500 0.7500 0.7500  12 Pb 3.66, 4 Mn 3.83

Values from the calculation:
ΔE_f in eV/atom: 1.336
Total moment in μB/f.u.: 7.6
Density in kg/m3: 10267
Fermi-level density of states in states/eV per atom: 0.75
VASP energy in eV/atom: -4.823
Symmetry: F-43m, No. 216

[11]
The following is a PBE calculation of a relaxed structure of Mn2PbW, from the Alexandria database.

Cell lengths 8.9477, 8.9477, 8.9477 Å; angles 19.81, 19.81, 19.81 degrees
Last column: nearest neighbours and their distance in Å.
Sites, in units of the cell vectors:
Mn 0.0109 0.0109 0.0109  3 W 2.61
Mn 0.4891 0.4891 0.4891  3 W 2.61
Pb 0.2500 0.2500 0.2500  6 Mn 3.05, 6 Pb 3.08
W 0.7500 0.7500 0.7500  6 Mn 2.61

Values from the calculation:
ΔE_f in eV/atom: 0.581
Total moment in μB/f.u.: 5.7
Density in kg/m3: 11555
Fermi-level density of states in states/eV per atom: 0.75
VASP energy in eV/atom: -8.169
Symmetry: R-3m, No. 166

[12]
The following is a PBE calculation of a relaxed structure of Mn2PbW, from the Alexandria database.

Cell lengths 7.2050, 7.2050, 5.8109 Å; angles 51.69, 51.69, 90.00 degrees
Last column: nearest neighbours and their distance in Å.
Sites, in units of the cell vectors:
Pb 0.0000 0.0000 0.0000  2 W 2.79, 4 Mn 2.85
Pb 0.7500 0.2500 0.5000  2 W 2.79, 4 Mn 2.85
Mn 0.5847 0.1250 0.2500  2 W 2.45
Mn 0.1653 0.6250 0.2500  2 W 2.45
Mn 0.3750 0.4153 0.7500  2 W 2.45
Mn 0.8750 0.8347 0.7500  2 W 2.45
W 0.5000 0.5000 0.0000  4 Mn 2.45
W 0.2500 0.7500 0.5000  4 Mn 2.45

Values from the calculation:
ΔE_f in eV/atom: 0.969
Total moment in μB/f.u.: 4.4
Density in kg/m3: 11467
Fermi-level density of states in states/eV per atom: 1.12
VASP energy in eV/atom: -7.781
Symmetry: I-42d, No. 122

[13]
The following is a PBE calculation of a relaxed structure of YMnPb2, from the Alexandria database.

Cell lengths 5.6488, 5.6488, 5.6488 Å; angles 130.45, 130.45, 72.68 degrees
Last column: nearest neighbours and their distance in Å.
Sites, in units of the cell vectors:
Mn 0.7500 0.2500 0.5000  8 Pb 3.28, 4 Y 3.35
Pb 0.0000 0.0000 0.0000  4 Mn 3.28, 4 Y 3.28, 4 Pb 3.35
Pb 0.5000 0.5000 0.0000  4 Mn 3.28, 4 Y 3.28, 4 Pb 3.35
Y 0.2500 0.7500 0.5000  8 Pb 3.28, 4 Mn 3.35

Values from the calculation:
Excess energy over the best structure of this formula in the dataset in meV/atom: 93
ΔE_f in eV/atom: 0.047
Total moment in μB/f.u.: 3.9
Density in kg/m3: 9091
Fermi-level density of states in states/eV per atom: 0.89
VASP energy in eV/atom: -5.716
Symmetry: I4/mmm, No. 139

[14]
The following is a PBE calculation of a relaxed structure of YMnPb2, from the Alexandria database.

Cell lengths 9.7640, 9.7640, 9.7640 Å; angles 21.11, 21.11, 21.11 degrees
Last column: nearest neighbours and their distance in Å.
Sites, in units of the cell vectors:
Mn 0.7500 0.7500 0.7500  6 Pb 2.98
Pb 0.0082 0.0082 0.0082  3 Mn 2.98, 3 Y 3.34
Pb 0.4918 0.4918 0.4918  3 Mn 2.98, 3 Y 3.34
Y 0.2500 0.2500 0.2500  6 Pb 3.34, 6 Y 3.58

Values from the calculation:
Excess energy over the best structure of this formula in the dataset in meV/atom: 178
ΔE_f in eV/atom: 0.132
Total moment in μB/f.u.: 4.6
Density in kg/m3: 8763
Fermi-level density of states in states/eV per atom: 0.72
VASP energy in eV/atom: -5.630
Symmetry: R-3m, No. 166

[15]
The following is a PBE calculation of a relaxed structure of YMnPb, from the Alexandria database.

Cell lengths 4.7582, 4.7582, 3.6795 Å; angles 90.00, 90.00, 120.00 degrees
Last column: nearest neighbours and their distance in Å.
Sites, in units of the cell vectors:
Mn 0.0000 0.0000 0.1666  3 Pb 2.75
Pb 0.6667 0.3333 0.1667  3 Mn 2.75
Y 0.3333 0.6667 0.6666  6 Pb 3.31, 6 Mn 3.31, 2 Y 3.68

Values from the calculation:
ΔE_f in eV/atom: -0.053
Total moment in μB/f.u.: 3.6
Density in kg/m3: 8080
Fermi-level density of states in states/eV per atom: 0.92
VASP energy in eV/atom: -6.500
Symmetry: P-6m2, No. 187